# 1
The following is a DFT calculation (PBE) of a relaxed Gd3Cd3Ag2Pt crystal.

Cell lengths 7.6773, 7.6773, 4.0686 Å; angles 90.00, 90.00, 120.00 degrees
Last column: nearest neighbours and their distance in Å.
Atoms (fractional coordinates):
Gd 0.0000 0.3906 0.0000  1 Pt 3.00, 4 Ag 3.12, 4 Cd 3.33
Gd 0.3906 0.0000 0.0000  1 Pt 3.00, 4 Ag 3.12, 4 Cd 3.33
Gd 0.6094 0.6094 0.0000  1 Pt 3.00, 4 Ag 3.12, 4 Cd 3.33
Cd 0.0000 0.7435 0.5000  2 Pt 2.83, 2 Ag 2.90
Cd 0.2565 0.2565 0.5000  2 Pt 2.83, 2 Ag 2.90
Cd 0.7435 0.0000 0.5000  2 Pt 2.83, 2 Ag 2.90
Ag 0.3333 0.6667 0.5000  3 Cd 2.90, 6 Gd 3.12
Ag 0.6667 0.3333 0.5000  3 Cd 2.90, 6 Gd 3.12
Pt 0.0000 0.0000 0.0000  6 Cd 2.83, 3 Gd 3.00

## Properties
As for the electronic total energy: -3.63 eV/atom.



# 2
The following is a DFT calculation (PBE) of a relaxed ZrBe2Pd2 crystal.

Cell lengths 5.4415, 5.4415, 5.4415 Å; angles 137.94, 137.94, 61.00 degrees
Last column: nearest neighbours and their distance in Å.
Atoms (fractional coordinates):
Zr 0.0000 0.0000 0.0000  10 Pd 3.04-3.41, 8 Be 3.05
Be 0.2500 0.7500 0.5000  4 Pd 2.22
Be 0.7500 0.2500 0.5000  4 Pd 2.22
Pd 0.3633 0.3633 0.0000  4 Be 2.22
Pd 0.6367 0.6367 0.0000  4 Be 2.22

## Properties
As for the electronic total energy: -5.67 eV/atom.



# 3
The following is a DFT calculation (PBE) of a relaxed Rb2YTmS4 crystal.

Cell lengths 4.0403, 4.0403, 15.3482 Å; angles 90.00, 90.00, 120.00 degrees
Last column: nearest neighbours and their distance in Å.
Atoms (fractional coordinates):
Rb 0.3333 0.6667 0.2498  6 S 3.31-3.33
Rb 0.6667 0.3333 0.7502  6 S 3.31-3.33
Y 0.0000 0.0000 0.5000  6 S 2.77
Tm 0.0000 0.0000 0.0000  6 S 2.75
S 0.3333 0.6667 0.5972  3 Y 2.77
S 0.3333 0.6667 0.9055  3 Tm 2.75
S 0.6667 0.3333 0.0945  3 Tm 2.75
S 0.6667 0.3333 0.4028  3 Y 2.77

## Properties
As for the electronic total energy: -5.53 eV/atom.



# 4
The following is a DFT calculation (PBE) of a relaxed Lu4InSiC2 crystal.

Cell lengths 3.4990, 3.4990, 15.1680 Å; angles 90.00, 90.00, 120.00 degrees
Last column: nearest neighbours and their distance in Å.
Atoms (fractional coordinates):
Lu 0.0000 0.0000 0.1483  3 C 2.43
Lu 0.0000 0.0000 0.8517  3 C 2.43
Lu 0.6667 0.3333 0.3205  3 C 2.39
Lu 0.6667 0.3333 0.6795  3 C 2.39
In 0.0000 0.0000 0.5000  6 Lu 3.39, 6 In 3.50
Si 0.6667 0.3333 0.0000  6 Lu 3.02
C 0.3333 0.6667 0.2369  6 Lu 2.39-2.43
C 0.3333 0.6667 0.7631  6 Lu 2.39-2.43

## Properties
As for the electronic total energy: -6.05 eV/atom.



Number 4 is which compound? Lu4InSiC2